1.
! Nb3AlCr8, relaxed, DFT PBE; values from VASP
! - Energy above the most stable polymorph in this dataset: 19 meV per atom
! - ΔE_f: -73 meV/atom
! - Fermi-level density of states: 8.91 states/eV per cell
! - Magnetic moment: 0.00 μB per formula unit
&SYSTEM
  ibrav = 0, nat = 12, ntyp = 3
/
ATOMIC_SPECIES
Nb 92.91 Nb.upf
Al 26.98 Al.upf
Cr 52.00 Cr.upf
CELL_PARAMETERS angstrom
4.880 0.000 0.000
-2.440 4.226 0.000
0.000 0.000 7.985
ATOMIC_POSITIONS crystal
Nb 0.000 0.000 0.000
Nb 0.000 0.000 0.383
Nb 0.333 0.667 0.875
Al 0.333 0.667 0.503
Cr 0.008 0.504 0.191
Cr 0.329 0.165 0.687
Cr 0.496 0.504 0.191
Cr 0.496 0.992 0.191
Cr 0.667 0.333 0.437
Cr 0.667 0.333 0.939
Cr 0.835 0.165 0.687
Cr 0.835 0.671 0.687



2.
! TcRuSCl2, relaxed, DFT PBE; values from VASP
! - Energy above the most stable polymorph in this dataset: 0 meV per atom
! - Fermi-level density of states: 4.15 states/eV per cell
! - Magnetic moment: 4.48 μB per formula unit
&SYSTEM
  ibrav = 0, nat = 5, ntyp = 4
/
ATOMIC_SPECIES
Tc 98.00 Tc.upf
Ru 101.07 Ru.upf
S 32.06 S.upf
Cl 35.45 Cl.upf
CELL_PARAMETERS angstrom
4.849 0.000 0.000
0.000 4.849 0.000
0.000 0.000 4.527
ATOMIC_POSITIONS crystal
Tc 0.000 0.000 0.000
Ru 0.500 0.500 0.500
S 0.500 0.500 0.000
Cl 0.000 0.500 0.500
Cl 0.500 0.000 0.500



3.
! DyGe2Bi2Pd7, relaxed, DFT PBE; values from VASP
! - ΔE_f: -471 meV/atom
! - Fermi-level density of states: 4.55 states/eV per cell
! - Magnetic moment: 0.00 μB per formula unit
&SYSTEM
  ibrav = 0, nat = 12, ntyp = 4
/
ATOMIC_SPECIES
Dy 162.50 Dy.upf
Ge 72.64 Ge.upf
Bi 208.98 Bi.upf
Pd 106.42 Pd.upf
CELL_PARAMETERS angstrom
2.893 -2.869 0.000
2.893 2.869 0.000
-1.868 0.000 14.082
ATOMIC_POSITIONS crystal
Dy 0.000 0.000 0.000
Ge 0.417 0.417 0.746
Ge 0.583 0.583 0.254
Bi 0.121 0.121 0.379
Bi 0.879 0.879 0.621
Pd 0.049 0.549 0.151
Pd 0.346 0.346 0.569
Pd 0.451 0.951 0.849
Pd 0.500 0.500 0.000
Pd 0.549 0.049 0.151
Pd 0.654 0.654 0.431
Pd 0.951 0.451 0.849



4.
! TmTh2Os, relaxed, DFT PBE; values from VASP
! - Energy above the most stable polymorph in this dataset: 237 meV per atom
! - ΔE_f: 6 meV/atom
! - Fermi-level density of states: 7.34 states/eV per cell
! - Magnetic moment: 0.00 μB per formula unit
&SYSTEM
  ibrav = 0, nat = 4, ntyp = 3
/
ATOMIC_SPECIES
Tm 168.93 Tm.upf
Th 232.04 Th.upf
Os 190.23 Os.upf
CELL_PARAMETERS angstrom
3.660 0.000 0.000
0.000 3.660 0.000
0.000 0.000 8.095
ATOMIC_POSITIONS crystal
Tm 0.000 0.000 0.000
Th 0.500 0.500 0.297
Th 0.500 0.500 0.703
Os 0.000 0.000 0.500



5.
! Nd7DyEr4, relaxed, DFT PBE; values from VASP
! - Energy above the most stable polymorph in this dataset: 209 meV per atom
! - ΔE_f: 216 meV/atom
! - Fermi-level density of states: 19.18 states/eV per cell
! - Magnetic moment: 0.10 μB per formula unit
&SYSTEM
  ibrav = 0, nat = 12, ntyp = 3
/
ATOMIC_SPECIES
Nd 144.24 Nd.upf
Dy 162.50 Dy.upf
Er 167.26 Er.upf
CELL_PARAMETERS angstrom
8.079 -3.000 0.000
8.079 3.000 0.000
-4.227 0.000 8.429
ATOMIC_POSITIONS crystal
Nd 0.000 0.000 0.000
Nd 0.287 0.287 0.762
Nd 0.288 0.288 0.116
Nd 0.415 0.415 0.552
Nd 0.585 0.585 0.448
Nd 0.712 0.712 0.884
Nd 0.713 0.713 0.238
Dy 0.500 0.500 0.000
Er 0.070 0.070 0.698
Er 0.170 0.170 0.383
Er 0.830 0.830 0.617
Er 0.930 0.930 0.302



6.
! CsYPtCl6, relaxed, DFT PBE; values from VASP
! - Magnetic moment: 2.00 μB per formula unit
! - DFT total energy: -4.199 eV per atom
&SYSTEM
  ibrav = 0, nat = 9, ntyp = 4
/
ATOMIC_SPECIES
Cs 132.91 Cs.upf
Y 88.91 Y.upf
Pt 195.08 Pt.upf
Cl 35.45 Cl.upf
CELL_PARAMETERS angstrom
6.749 0.000 0.000
-3.375 5.845 0.000
0.000 0.000 7.972
ATOMIC_POSITIONS crystal
Cs 0.000 0.000 0.000
Y 0.667 0.333 0.500
Pt 0.333 0.667 0.500
Cl 0.011 0.375 0.689
Cl 0.011 0.637 0.311
Cl 0.363 0.375 0.311
Cl 0.363 0.989 0.689
Cl 0.625 0.637 0.689
Cl 0.625 0.989 0.311



7.
! SrAcSm2Se4, relaxed, DFT PBE; values from VASP
! - Fermi-level density of states: 3.35 states/eV per cell
! - Magnetic moment: 0.00 μB per formula unit
! - DFT total energy: -5.513 eV per atom
&SYSTEM
  ibrav = 0, nat = 8, ntyp = 4
/
ATOMIC_SPECIES
Sr 87.62 Sr.upf
Ac 227.00 Ac.upf
Sm 150.36 Sm.upf
Se 78.96 Se.upf
CELL_PARAMETERS angstrom
7.458 0.000 0.000
0.000 4.275 0.000
-2.444 0.000 7.082
ATOMIC_POSITIONS crystal
Sr 0.000 0.000 0.000
Ac 0.500 0.500 0.000
Sm 0.000 0.500 0.500
Sm 0.500 0.000 0.500
Se 0.241 0.000 0.734
Se 0.252 0.500 0.264
Se 0.748 0.500 0.736
Se 0.759 0.000 0.266



8.
! AcU2P4, relaxed, DFT PBE; values from VASP
! - ΔE_f: -860 meV/atom
! - Fermi-level density of states: 22.12 states/eV per cell
! - Magnetic moment: 2.84 μB per formula unit
&SYSTEM
  ibrav = 0, nat = 14, ntyp = 3
/
ATOMIC_SPECIES
Ac 227.00 Ac.upf
U 238.03 U.upf
P 30.97 P.upf
CELL_PARAMETERS angstrom
2.054 -6.475 0.000
2.054 6.475 0.000
0.000 0.000 13.041
ATOMIC_POSITIONS crystal
Ac 0.110 0.890 0.750
Ac 0.890 0.110 0.250
U 0.369 0.631 0.559
U 0.369 0.631 0.941
U 0.631 0.369 0.059
U 0.631 0.369 0.441
P 0.000 0.000 0.000
P 0.000 0.000 0.500
P 0.258 0.742 0.116
P 0.258 0.742 0.384
P 0.436 0.564 0.750
P 0.564 0.436 0.250
P 0.742 0.258 0.616
P 0.742 0.258 0.884



9.
! Tm6Sb3TeSe2, relaxed, DFT PBE; values from VASP
! - Fermi-level density of states: 4.51 states/eV per cell
! - Magnetic moment: 0.00 μB per formula unit
! - DFT total energy: -5.403 eV per atom
&SYSTEM
  ibrav = 0, nat = 12, ntyp = 4
/
ATOMIC_SPECIES
Tm 168.93 Tm.upf
Sb 121.76 Sb.upf
Te 127.60 Te.upf
Se 78.96 Se.upf
CELL_PARAMETERS angstrom
3.684 -6.352 0.000
3.684 6.352 0.000
-2.454 0.000 6.864
ATOMIC_POSITIONS crystal
Tm 0.070 0.417 0.752
Tm 0.231 0.231 0.238
Tm 0.417 0.070 0.752
Tm 0.583 0.930 0.248
Tm 0.769 0.769 0.762
Tm 0.930 0.583 0.248
Sb 0.000 0.000 0.500
Sb 0.340 0.660 0.500
Sb 0.660 0.340 0.500
Te 0.500 0.500 0.000
Se 0.169 0.831 0.000
Se 0.831 0.169 0.000



10.
! ZrNb3B, relaxed, DFT PBE; values from VASP
! - Energy above the most stable polymorph in this dataset: 2505 meV per atom
! - ΔE_f: 2508 meV/atom
! - Fermi-level density of states: 6.35 states/eV per cell
! - Magnetic moment: 0.00 μB per formula unit
&SYSTEM
  ibrav = 0, nat = 5, ntyp = 3
/
ATOMIC_SPECIES
Zr 91.22 Zr.upf
Nb 92.91 Nb.upf
B 10.81 B.upf
CELL_PARAMETERS angstrom
4.865 0.000 0.000
0.000 4.865 0.000
0.000 0.000 4.865
ATOMIC_POSITIONS crystal
Zr 0.000 0.000 0.000
Nb 0.000 0.000 0.500
Nb 0.000 0.500 0.000
Nb 0.500 0.000 0.000
B 0.500 0.500 0.500



11.
! MnAl4Pt, relaxed, DFT PBE; values from VASP
! - ΔE_f: 23 meV/atom
! - Fermi-level density of states: 3.28 states/eV per cell
! - Magnetic moment: 2.99 μB per formula unit
&SYSTEM
  ibrav = 0, nat = 6, ntyp = 3
/
ATOMIC_SPECIES
Mn 54.94 Mn.upf
Al 26.98 Al.upf
Pt 195.08 Pt.upf
CELL_PARAMETERS angstrom
0.000 3.581 3.581
3.581 0.000 3.581
3.581 3.581 0.000
ATOMIC_POSITIONS crystal
Mn 0.000 0.000 0.000
Al 0.375 0.375 0.375
Al 0.375 0.375 0.876
Al 0.375 0.876 0.375
Al 0.876 0.375 0.375
Pt 0.750 0.750 0.750



12.
! Sm2DyCd, relaxed, DFT PBE; values from VASP
! - Energy above the most stable polymorph in this dataset: 107 meV per atom
! - ΔE_f: -33 meV/atom
! - Fermi-level density of states: 5.45 states/eV per cell
! - Magnetic moment: 0.00 μB per formula unit
&SYSTEM
  ibrav = 0, nat = 4, ntyp = 3
/
ATOMIC_SPECIES
Sm 150.36 Sm.upf
Dy 162.50 Dy.upf
Cd 112.41 Cd.upf
CELL_PARAMETERS angstrom
0.000 3.897 3.897
3.897 0.000 3.897
3.897 3.897 0.000
ATOMIC_POSITIONS crystal
Sm 0.250 0.250 0.250
Sm 0.750 0.750 0.750
Dy 0.000 0.000 0.000
Cd 0.500 0.500 0.500



> What is the formula in the fourth record?

TmTh2Os



> Look up the magnetic moment of the eleventh one.

2.99 μB per formula unit